[1]
## LiHgBiPd (PBE)

Data for an optimized crystal structure of LiHgBiPd.

Calculated values
Uncorrected energy = -12.6 eV per cell

abc: 4.831 4.831 4.831
angles: 60.00 60.00 60.00
Atoms (fractional coordinates):
1 Bi 0.500 0.500 0.500
2 Pd 0.250 0.250 0.250
3 Li 0.750 0.750 0.750
4 Hg 0.000 0.000 0.000

[2]
## K2ZrS3 (PBE)

Data for an optimized crystal structure of K2ZrS3.

Calculated values
Uncorrected energy = -63.8 eV per cell

abc: 7.686 3.880 10.395
angles: 90.00 94.90 90.00
Atoms (fractional coordinates):
1 S 0.549 0.250 0.711
2 K 0.752 0.750 0.517
3 S 0.309 0.250 0.985
4 S 0.130 0.750 0.695
5 S 0.870 0.250 0.305
6 Zr 0.598 0.250 0.171
7 K 0.248 0.250 0.483
8 S 0.451 0.750 0.289
9 K 0.082 0.750 0.149
10 Zr 0.402 0.750 0.829
11 S 0.691 0.750 0.015
12 K 0.918 0.250 0.851

[3]
## Sr2CoSbAs (PBE)

Data for an optimized crystal structure of Sr2CoSbAs.

Calculated values
Uncorrected energy = -44.9 eV per cell

abc: 8.208 8.208 8.039
angles: 90.00 90.00 148.93
Atoms (fractional coordinates):
1 Sr 0.770 0.230 0.875
2 As 0.855 0.145 0.532
3 Sr 0.038 0.962 0.720
4 Sb 0.569 0.431 0.422
5 As 0.145 0.855 0.032
6 Co 0.591 0.409 0.087
7 Sb 0.431 0.569 0.922
8 Sr 0.962 0.038 0.220
9 Co 0.409 0.591 0.587
10 Sr 0.230 0.770 0.375

[4]
## SmNi4P2 (PBE)

Data for an optimized crystal structure of SmNi4P2.

Calculated values
Uncorrected energy = -260.5 eV per cell

abc: 10.807 13.711 3.766
angles: 90.00 90.00 90.00
Atoms (fractional coordinates):
1 Ni 0.402 0.057 0.000
2 Ni 0.316 0.785 0.500
3 Ni 0.075 0.437 0.000
4 Sm 0.000 0.000 0.000
5 Ni 0.425 0.937 0.500
6 Ni 0.429 0.680 0.000
7 Sm 0.500 0.500 0.500
8 Sm 0.383 0.221 0.500
9 Sm 0.117 0.721 0.000
10 P 0.135 0.881 0.500
11 P 0.210 0.127 0.000
12 Ni 0.598 0.943 0.000
13 Ni 0.571 0.320 0.000
14 Ni 0.248 0.912 0.000
15 P 0.290 0.627 0.500
16 Ni 0.777 0.964 0.500
17 Ni 0.902 0.443 0.500
18 Ni 0.723 0.464 0.000
19 P 0.569 0.155 0.000
20 P 0.710 0.373 0.500
21 Ni 0.223 0.036 0.500
22 Ni 0.752 0.088 0.000
23 P 0.865 0.119 0.500
24 Ni 0.748 0.588 0.500
25 Ni 0.929 0.820 0.500
26 Ni 0.184 0.285 0.000
27 P 0.635 0.619 0.000
28 Ni 0.816 0.715 0.000
29 P 0.365 0.381 0.000
30 P 0.790 0.873 0.000
31 P 0.069 0.345 0.500
32 Ni 0.684 0.215 0.500
33 Ni 0.575 0.063 0.500
34 Ni 0.925 0.563 0.000
35 P 0.931 0.655 0.500
36 Ni 0.277 0.536 0.000
37 Sm 0.617 0.779 0.500
38 P 0.431 0.845 0.000
39 Ni 0.071 0.180 0.500
40 Sm 0.883 0.279 0.000
41 Ni 0.098 0.557 0.500
42 Ni 0.252 0.412 0.500

[5]
## TbGaO3 (PBE)

Data for an optimized crystal structure of TbGaO3.

Calculated values
Uncorrected energy = -144.2 eV per cell

abc: 5.285 5.562 7.586
angles: 90.00 90.00 90.00
Atoms (fractional coordinates):
1 Ga 0.500 0.000 0.500
2 Tb 0.518 0.567 0.250
3 O 0.196 0.197 0.555
4 Tb 0.018 0.933 0.750
5 O 0.304 0.697 0.945
6 O 0.804 0.803 0.055
7 O 0.696 0.303 0.055
8 Ga 0.500 0.000 0.000
9 O 0.196 0.197 0.945
10 O 0.804 0.803 0.445
11 Tb 0.482 0.433 0.750
12 O 0.393 0.965 0.250
13 Ga 0.000 0.500 0.000
14 Tb 0.982 0.067 0.250
15 O 0.304 0.697 0.555
16 O 0.893 0.535 0.750
17 Ga 0.000 0.500 0.500
18 O 0.607 0.035 0.750
19 O 0.696 0.303 0.445
20 O 0.107 0.465 0.250

[6]
## TbHgSO (PBE)

Data for an optimized crystal structure of TbHgSO.

Calculated values
Uncorrected energy = -40.9 eV per cell

abc: 4.631 8.603 5.234
angles: 90.00 90.00 90.00
Atoms (fractional coordinates):
1 O 0.500 0.091 0.167
2 Tb 0.500 0.857 0.061
3 Hg 0.000 0.689 0.629
4 Hg 0.000 0.311 0.129
5 Tb 0.500 0.143 0.561
6 S 0.000 0.307 0.635
7 O 0.500 0.909 0.667
8 S 0.000 0.693 0.135

[7]
## BeAlGaPt (PBE)

Data for an optimized crystal structure of BeAlGaPt.

Calculated values
Uncorrected energy = -17.2 eV per cell

abc: 4.284 4.284 4.284
angles: 60.00 60.00 60.00
Atoms (fractional coordinates):
1 Pt 0.250 0.250 0.250
2 Al 0.500 0.500 0.500
3 Be 0.750 0.750 0.750
4 Ga 0.000 0.000 0.000

[8]
## MgRe2Ge (PBE)

Data for an optimized crystal structure of MgRe2Ge.

Calculated values
Uncorrected energy = -29.7 eV per cell

abc: 4.407 4.407 4.407
angles: 60.00 60.00 60.00
Atoms (fractional coordinates):
1 Re 0.750 0.750 0.750
2 Mg 0.250 0.250 0.250
3 Ge 0.500 0.500 0.500
4 Re 0.000 0.000 0.000

[9]
## Tc2HgAs (PBE)

Data for an optimized crystal structure of Tc2HgAs.

Calculated values
Uncorrected energy = -23.1 eV per cell

abc: 4.567 4.567 4.567
angles: 60.00 60.00 60.00
Atoms (fractional coordinates):
1 As 0.500 0.500 0.500
2 Tc 0.750 0.750 0.750
3 Hg 0.250 0.250 0.250
4 Tc 0.000 0.000 0.000

[10]
## LiNbInIr (PBE)

Data for an optimized crystal structure of LiNbInIr.

Calculated values
Uncorrected energy = -50.5 eV per cell

abc: 4.500 4.500 6.354
angles: 90.00 90.00 90.00
Atoms (fractional coordinates):
1 Li 0.000 0.500 0.751
2 Nb 0.500 0.500 0.000
3 Nb 0.000 0.000 0.500
4 In 0.500 0.500 0.500
5 Li 0.500 0.000 0.249
6 In 0.000 0.000 0.000
7 Ir 0.500 0.000 0.750
8 Ir 0.000 0.500 0.250

[11]
## Mg2ScZn (PBE)

Data for an optimized crystal structure of Mg2ScZn.

Calculated values
Uncorrected energy = -22.3 eV per cell

abc: 4.825 6.135 6.135
angles: 63.18 90.00 90.00
Atoms (fractional coordinates):
1 Mg 0.500 0.667 0.162
2 Mg 0.000 0.844 0.844
3 Mg 0.500 0.157 0.157
4 Zn 0.000 0.827 0.349
5 Mg 0.500 0.162 0.667
6 Sc 0.500 0.656 0.656
7 Zn 0.000 0.349 0.827
8 Sc 0.000 0.338 0.338

[12]
## PaBeNi (PBE)

Data for an optimized crystal structure of PaBeNi.

Calculated values
Uncorrected energy = -18.6 eV per cell

abc: 4.240 4.240 4.240
angles: 60.00 60.00 60.00
Atoms (fractional coordinates):
1 Ni 0.250 0.250 0.250
2 Be 0.000 0.000 0.000
3 Pa 0.500 0.500 0.500